Here is crystalline CePm2In6 at its relaxed geometry from Alexandria via LeMat-Bulk. Energies are from PBE-GGA.

Values from the calculation:
Mass density in g cm⁻³: 7.72
Magnetization in μB per atom: 0.10
Formation enthalpy at 0 K in kJ per mole of atoms: -41.3
Raw total energy in eV per atom: -3.969

Geometry as CIF:
```
data_CePm2In6
_cell_length_a 8.7110
_cell_length_b 8.7110
_cell_length_c 3.6625
_cell_angle_alpha 90.00
_cell_angle_beta 90.00
_cell_angle_gamma 120.00
_space_group_name_H-M_alt 'P 6/m m m'
_space_group_IT_number 191
_space_group_name_Hall '-P 6 2'
loop_
_atom_site_label
_atom_site_fract_x
_atom_site_fract_y
_atom_site_fract_z
Ce1 0.0000 0.0000 0.0000
Pm1 0.3333 0.6667 0.0000
In1 0.0000 0.3337 0.5000
```